# 1
A plane-wave DFT calculation with GGA-PBE was carried out for ZrFe2Mo after structural relaxation.

The structure in POSCAR format:
```
ZrFe2Mo
1.0
2.0319 -3.4413 1.7684
-2.0637 -2.4775 2.9498
-1.2554 -4.0533 -1.0454
Fe Zr Mo
2 1 1
Cartesian
-0.3218 -2.4931 0.9182 Fe
-0.9654 -7.4792 2.7546 Fe
0.0000 0.0000 0.0000 Zr
-0.6436 -4.9861 1.8364 Mo
```

Crystal system: cubic
E_form, kJ/mol of formula units: 18.9
SG: Fm-3m, No. 225
M_tot, μB/f.u.: 2.1
Final energy, eV/f.u.: -36.11


# 2
A plane-wave DFT calculation with GGA-PBE was carried out for ZrFe2Mo after structural relaxation.

The structure in POSCAR format:
```
ZrFe2Mo
1.0
-3.9308 -0.5433 -3.1038
-1.2347 -1.4727 -4.6569
-1.6349 -4.1027 -0.3830
Fe Zr Mo
2 1 1
Cartesian
-3.3600 -3.0826 -3.9881 Fe
-1.6752 -4.0795 -0.4667 Fe
-1.7001 -1.5297 -2.0359 Zr
-5.1003 -4.5891 -6.1077 Mo
```

Crystal system: orthorhombic
E_form, kJ/mol of formula units: 55.0
SG: Immm, No. 71
M_tot, μB/f.u.: 3.5
Final energy, eV/f.u.: -35.73


# 3
A plane-wave DFT calculation with GGA-PBE was carried out for ZrFeMo2 after structural relaxation.

The structure in POSCAR format:
```
ZrFeMo2
1.0
5.3743 -0.0034 0.0000
2.7736 4.6033 0.0000
-4.0739 -2.3000 2.6451
Zr Fe Mo
1 1 2
Cartesian
1.3868 2.3017 1.3225 Zr
2.6872 -0.0017 1.3225 Fe
4.0739 2.3000 0.0000 Mo
0.0000 0.0000 0.0000 Mo
```

Crystal system: tetragonal
E_form, kJ/mol of formula units: 88.0
SG: I4/mmm, No. 139
M_tot, μB/f.u.: 0.7
Final energy, eV/f.u.: -37.76
Energy above the lowest structure with this stoichiometry, meV per atom: 210


# 4
A plane-wave DFT calculation with GGA-PBE was carried out for ZrFe2Mo after structural relaxation.

The structure in POSCAR format:
```
ZrFe2Mo
1.0
-5.8717 3.4135 -1.0737
-1.8492 -4.6609 -4.7051
-5.0574 -2.0806 -0.9758
Fe Zr Mo
4 2 2
Cartesian
-6.6392 -1.9042 -2.7738 Fe
-10.5980 -2.7759 -5.9135 Fe
-5.3215 1.1215 -1.5317 Fe
-2.9979 -3.0973 -3.2903 Fe
-5.3835 -3.6826 -4.2852 Zr
-3.8605 -0.6237 -2.8894 Zr
-7.3948 0.3546 -2.4695 Mo
0.0000 0.0000 0.0000 Mo
```

Crystal system: tetragonal
E_form, kJ/mol of formula units: 182.2
SG: I-42d, No. 122
M_tot, μB/f.u.: 3.0
Final energy, eV/f.u.: -34.42


# 5
A plane-wave DFT calculation with GGA-PBE was carried out for ZrFeMo2 after structural relaxation.

The structure in POSCAR format:
```
ZrFeMo2
1.0
2.7922 -0.0507 0.0000
-0.8839 2.6491 0.0000
0.0000 0.0000 8.7945
Zr Mo Fe
1 2 1
Cartesian
0.0000 0.0000 4.5074 Zr
0.0000 0.0000 8.6884 Mo
0.9541 1.2992 2.0548 Mo
0.9541 1.2992 6.7357 Fe
```

Crystal system: orthorhombic
E_form, kJ/mol of formula units: 45.1
SG: Cmm2, No. 35
M_tot, μB/f.u.: 1.8
Final energy, eV/f.u.: -38.21
Energy above the lowest structure with this stoichiometry, meV per atom: 99


# 6
A plane-wave DFT calculation with GGA-PBE was carried out for ZrFeMo2 after structural relaxation.

The structure in POSCAR format:
```
ZrFeMo2
1.0
-2.7352 -1.6650 -0.3747
1.5247 -2.0659 -1.9501
1.4870 -3.5509 4.9246
Fe Mo Zr
1 2 1
Cartesian
0.5101 -4.5287 2.5311 Fe
0.7869 -1.8791 2.6060 Mo
1.4436 -3.4473 4.7809 Mo
-0.2335 -2.7532 0.0688 Zr
```

Crystal system: tetragonal
E_form, kJ/mol of formula units: 65.9
SG: P4/mmm, No. 123
M_tot, μB/f.u.: 1.7
Final energy, eV/f.u.: -37.99
Energy above the lowest structure with this stoichiometry, meV per atom: 153